1.
Density functional theory data (PBEsol) for Gd2AlFe3 after structural relaxation.

a = 5.1304 Å, b = 5.1304 Å, c = 12.5789 Å
α = 90.00°, β = 90.00°, γ = 120.00°
Last column: nearest neighbours and their distance in Å.
Space group R-3m (No. 166, hexagonal axes)
Inequivalent atoms, fractional coordinates:
Gd  0.0000  0.0000  0.1216 (multiplicity 6)  9 Fe 2.99-3.05, 3 Al 3.02, 4 Gd 3.06-3.17
Al  0.0000  0.0000  0.5000 (multiplicity 3)  6 Fe 2.57
Fe  0.0000  0.5000  0.0000 (multiplicity 9)  4 Fe 2.57, 2 Al 2.57

## Properties
Its crystal system is trigonal.

---

2.
Density functional theory data (PBEsol) for Al2Fe2Ge after structural relaxation.

a = 5.8868 Å, b = 5.8868 Å, c = 3.7442 Å
α = 90.00°, β = 90.00°, γ = 90.00°
Last column: nearest neighbours and their distance in Å.
Space group P4/mbm (No. 127)
Inequivalent atoms, fractional coordinates:
Al  0.1586  0.3414  0.0000 (multiplicity 4)  6 Fe 2.49-2.59, 1 Al 2.64
Fe  0.1442  0.6442  0.5000 (multiplicity 4)  2 Ge 2.26, 1 Fe 2.40, 2 Al 2.49
Ge  0.0000  0.0000  0.5000 (multiplicity 2)  4 Fe 2.26

## Properties
Its crystal system is tetragonal.

---

3.
Density functional theory data (PBEsol) for Al2FeHIr after structural relaxation.

a = 4.1380 Å, b = 4.1380 Å, c = 3.0530 Å
α = 90.00°, β = 90.00°, γ = 90.00°
Last column: nearest neighbours and their distance in Å.
Space group P4/mmm (No. 123)
Inequivalent atoms, fractional coordinates:
Al  0.0000  0.5000  0.0000 (multiplicity 2)  2 H 2.07
Fe  0.0000  0.0000  0.5000 (multiplicity 1)  2 H 1.53
H  0.0000  0.0000  0.0000 (multiplicity 1)  2 Fe 1.53
Ir  0.5000  0.5000  0.5000 (multiplicity 1)  8 Al 2.57

## Properties
Its crystal system is tetragonal.

---

4.
Density functional theory data (PBEsol) for KMg2AlFeSi3H2O12 after structural relaxation.

a = 5.3163 Å, b = 5.3166 Å, c = 10.5238 Å
α = 85.43°, β = 79.93°, γ = 60.09°
Last column: nearest neighbours and their distance in Å.
Space group P1 (No. 1)
Inequivalent atoms, fractional coordinates:
K  0.0000  0.0000  0.0000 (multiplicity 1)  3 O 2.72-2.73, 1 H 2.97
Mg  0.1668  0.6700  0.4741 (multiplicity 1)  6 O 2.02-2.11
Mg  0.8316  0.3409  0.4741 (multiplicity 1)  6 O 2.01-2.14
Al  0.5916  0.6712  0.2101 (multiplicity 1)  4 O 1.75-1.76
Fe  0.4933  0.0004  0.4725 (multiplicity 1)  6 O 2.00-2.22
Si  0.2583  0.3391  0.2062 (multiplicity 1)  4 O 1.64-1.66
Si  0.4058  0.3387  0.7432 (multiplicity 1)  4 O 1.61-1.66
Si  0.7427  0.6696  0.7432 (multiplicity 1)  4 O 1.60-1.66
H  0.1037  0.0114  0.6747 (multiplicity 1)  1 O 0.97
H  0.8800  0.0093  0.2867 (multiplicity 1)  1 O 0.97
O  0.0521  0.5078  0.8053 (multiplicity 1)  2 Si 1.66
O  0.1138  0.0110  0.5817 (multiplicity 1)  1 H 0.97
O  0.1950  0.3464  0.3659 (multiplicity 1)  1 Si 1.66
O  0.3585  0.5779  0.1507 (multiplicity 1)  1 Si 1.64, 1 Al 1.76
O  0.4549  0.3435  0.5882 (multiplicity 1)  1 Si 1.61
O  0.5205  0.0175  0.1528 (multiplicity 1)  1 Si 1.64, 1 Al 1.76
O  0.5327  0.6660  0.3790 (multiplicity 1)  1 Al 1.75
O  0.5488  0.0053  0.8013 (multiplicity 1)  2 Si 1.66
O  0.5547  0.5036  0.8029 (multiplicity 1)  2 Si 1.66
O  0.8071  0.6588  0.5885 (multiplicity 1)  1 Si 1.60
O  0.8653  0.0044  0.3803 (multiplicity 1)  1 H 0.97
O  0.9588  0.4166  0.1502 (multiplicity 1)  1 Si 1.64, 1 Al 1.76

## Properties
Its crystal system is triclinic.

---

5.
Density functional theory data (PBEsol) for KAl4Fe3H2O12 after structural relaxation.

a = 5.1232 Å, b = 8.8982 Å, c = 10.5765 Å
α = 90.00°, β = 99.22°, γ = 90.00°
Last column: nearest neighbours and their distance in Å.
Space group C2/m (No. 12)
Inequivalent atoms, fractional coordinates:
K  0.0000  0.0000  0.0000 (multiplicity 2)  6 O 2.69
Al  0.0778  0.3336  0.2282 (multiplicity 8)  4 O 1.72-1.91
Fe  0.0000  0.1714  0.5000 (multiplicity 4)  6 O 1.92-1.98
Fe  0.0000  0.5000  0.5000 (multiplicity 2)  6 O 1.93-1.96
H  0.1039  0.0000  0.3133 (multiplicity 4)  1 O 1.02
O  0.0863  0.5000  0.8082 (multiplicity 4)  2 Al 1.72
O  0.1068  0.1737  0.8069 (multiplicity 8)  2 Al 1.72
O  0.1350  0.0000  0.4108 (multiplicity 4)  1 H 1.02
O  0.1379  0.3349  0.4116 (multiplicity 8)  1 Al 1.91, 3 Fe 1.92-1.94

## Properties
Its crystal system is monoclinic.

---

6.
Density functional theory data (PBEsol) for AlFe2MoH after structural relaxation.

a = 3.6171 Å, b = 3.6171 Å, c = 4.0249 Å
α = 90.00°, β = 90.00°, γ = 90.00°
Last column: nearest neighbours and their distance in Å.
Space group P4/mmm (No. 123)
Inequivalent atoms, fractional coordinates:
Al  0.0000  0.0000  0.0000 (multiplicity 1)  2 H 2.01
Fe  0.0000  0.5000  0.5000 (multiplicity 2)  2 H 1.81
Mo  0.5000  0.5000  0.0000 (multiplicity 1)  4 Al 2.56, 8 Fe 2.71
H  0.0000  0.0000  0.5000 (multiplicity 1)  4 Fe 1.81, 2 Al 2.01

## Properties
Its crystal system is tetragonal.

---

7.
Density functional theory data (PBEsol) for AlFeHg after structural relaxation.

a = 6.0667 Å, b = 6.0667 Å, c = 6.0667 Å
α = 90.00°, β = 90.00°, γ = 90.00°
Last column: nearest neighbours and their distance in Å.
Space group F-43m (No. 216)
Inequivalent atoms, fractional coordinates:
Al  0.0000  0.0000  0.0000 (multiplicity 4)  4 Hg 2.63
Fe  0.0000  0.0000  0.5000 (multiplicity 4)  4 Hg 2.63
Hg  0.2500  0.2500  0.2500 (multiplicity 4)  4 Al 2.63, 4 Fe 2.63

## Properties
Its crystal system is cubic.

---

8.
Density functional theory data (PBEsol) for HoAl8Fe4 after structural relaxation.

a = 8.5939 Å, b = 8.5939 Å, c = 4.9662 Å
α = 90.00°, β = 90.00°, γ = 90.00°
Last column: nearest neighbours and their distance in Å.
Space group I4/mmm (No. 139)
Inequivalent atoms, fractional coordinates:
Ho  0.0000  0.0000  0.0000 (multiplicity 2)  12 Al 2.92-3.12
Al  0.0000  0.2199  0.5000 (multiplicity 8)  4 Fe 2.49, 6 Al 2.67-2.78
Al  0.0000  0.3393  0.0000 (multiplicity 8)  4 Fe 2.60, 5 Al 2.69-2.78
Fe  0.2500  0.2500  0.2500 (multiplicity 8)  2 Fe 2.48, 8 Al 2.49-2.60

## Properties
Its crystal system is tetragonal.

---

Looking at total moment for the records above, in order, we have 17.9 0.0 0.0 4.0 3.0 3.8 2.9 5.0 μB per formula unit.
Looking at total energy for the records above, in order, we have -10.089 -6.431 -6.552 -7.144 -7.123 -7.347 -4.008 -6.089 eV/atom.